1.
Computed, not measured: a geometry-optimized Y2Cu2Sn structure at the PBE level of DFT.

The structure in POSCAR format:
```
Y2Cu2Sn
1.0
-1.581 -2.009 -2.391
-1.951 -1.457 2.514
-8.093 4.673 -1.136
Y Sn Cu
2 1 2
direct
0.383 0.383 0.235
0.617 0.617 0.765
0.000 0.000 0.000
0.750 0.250 0.500
0.250 0.750 0.500
```

Properties
- Fermi-level density of states (states/eV per cell) = 3.56
- SG = I4/mmm (139)
- E_form (meV/atom) = -257

2.
Computed, not measured: a geometry-optimized YCuSn structure at the PBE level of DFT.

The structure in POSCAR format:
```
YCuSn
1.0
-2.286 5.269 0.142
-0.732 -4.611 6.437
1.561 2.285 3.196
Y Sn Cu
2 2 2
direct
0.657 0.655 0.294
0.324 0.122 0.228
0.968 0.191 0.871
0.418 0.848 0.818
0.912 0.374 0.307
0.984 0.586 0.666
```

Properties
- Fermi-level density of states (states/eV per cell) = 4.20
- SG = P1 (1)
- E_form (meV/atom) = -417

3.
Computed, not measured: a geometry-optimized YCuSn structure at the PBE level of DFT.

The structure in POSCAR format:
```
YCuSn
1.0
4.292 0.003 0.004
-2.154 7.585 -0.001
-0.004 1.216 4.116
Y Sn Cu
2 2 2
direct
0.400 0.328 0.290
0.724 0.976 0.965
0.944 0.417 0.745
0.180 0.888 0.510
0.562 0.652 0.627
0.063 0.652 0.128
```

Properties
- Fermi-level density of states (states/eV per cell) = 5.11
- SG = Cm (8)
- E_form (meV/atom) = -453

4.
Computed, not measured: a geometry-optimized YCu2Sn2 structure at the PBE level of DFT.

The structure in POSCAR format:
```
YCu2Sn2
1.0
8.045 0.000 0.000
0.000 8.045 0.000
0.000 0.000 3.176
Y Sn Cu
2 4 4
direct
0.000 0.000 0.000
0.500 0.500 0.000
0.359 0.859 0.000
0.859 0.641 0.000
0.641 0.141 0.000
0.141 0.359 0.000
0.154 0.654 0.500
0.654 0.846 0.500
0.846 0.346 0.500
0.346 0.154 0.500
```

Properties
- Fermi-level density of states (states/eV per cell) = 5.51
- SG = P4/mbm (127)
- E_form (meV/atom) = -66

5.
Computed, not measured: a geometry-optimized YCu2Sn2 structure at the PBE level of DFT.

The structure in POSCAR format:
```
YCu2Sn2
1.0
-6.893 1.765 -2.565
-1.076 -7.197 -2.059
-1.381 -0.715 3.220
Y Sn Cu
2 4 4
direct
0.000 0.000 0.000
0.500 0.500 0.000
0.179 0.679 0.500
0.679 0.821 0.500
0.821 0.321 0.500
0.321 0.179 0.500
0.384 0.884 0.000
0.884 0.616 0.000
0.616 0.116 0.000
0.116 0.384 0.000
```

Properties
- Fermi-level density of states (states/eV per cell) = 6.89
- SG = P4/mbm (127)
- E_form (meV/atom) = -216

6.
Computed, not measured: a geometry-optimized Y2CuSn structure at the PBE level of DFT.

The structure in POSCAR format:
```
Y2CuSn
1.0
4.361 0.000 0.000
0.000 6.098 0.108
0.000 -2.901 7.476
Y Cu Sn
4 2 2
direct
0.750 0.202 0.441
0.250 0.798 0.559
0.250 0.787 0.091
0.750 0.213 0.909
0.750 0.646 0.289
0.250 0.354 0.711
0.250 0.340 0.212
0.750 0.660 0.788
```

Properties
- Fermi-level density of states (states/eV per cell) = 7.88
- SG = P2_1/m (11)
- E_form (meV/atom) = -518

7.
Computed, not measured: a geometry-optimized Y3Cu3Sn4 structure at the PBE level of DFT.

The structure in POSCAR format:
```
Y3Cu3Sn4
1.0
-5.111 0.910 6.534
-1.789 -7.124 -3.960
7.907 -0.207 2.661
Y Cu Sn
6 6 8
direct
0.625 0.750 0.875
0.875 0.250 0.625
0.125 0.375 0.250
0.375 0.125 0.750
0.250 0.875 0.125
0.750 0.625 0.375
0.125 0.750 0.375
0.375 0.250 0.125
0.625 0.875 0.250
0.875 0.625 0.750
0.250 0.375 0.625
0.750 0.125 0.875
0.000 0.000 0.346
0.500 0.346 0.500
0.654 0.154 0.154
0.000 0.000 0.846
0.846 0.500 0.000
0.500 0.846 0.500
0.346 0.500 0.000
0.154 0.654 0.654
```

Properties
- Fermi-level density of states (states/eV per cell) = 11.36
- SG = I-43d (220)
- E_form (meV/atom) = -505

8.
Computed, not measured: a geometry-optimized YCuSn structure at the PBE level of DFT.

The structure in POSCAR format:
```
YCuSn
1.0
5.630 0.009 0.012
-2.408 5.082 0.000
-0.207 -3.407 4.455
Y Sn Cu
2 2 2
direct
0.147 0.566 0.435
0.409 0.068 0.196
0.281 0.318 0.817
0.777 0.818 0.814
0.782 0.821 0.316
0.783 0.322 0.816
```

Properties
- Fermi-level density of states (states/eV per cell) = 3.73
- SG = P1 (1)
- E_form (meV/atom) = -390

9.
Computed, not measured: a geometry-optimized YCu3Sn structure at the PBE level of DFT.

The structure in POSCAR format:
```
YCu3Sn
1.0
-4.899 -0.700 1.080
1.287 -2.782 4.033
0.036 4.175 2.869
Y Sn Cu
1 1 3
direct
0.000 0.000 0.000
0.500 0.500 0.500
0.000 0.500 0.000
0.000 0.000 0.500
0.500 0.000 0.000
```

Properties
- Fermi-level density of states (states/eV per cell) = 5.21
- SG = Pm-3m (221)
- E_form (meV/atom) = 1038

10.
Computed, not measured: a geometry-optimized YCuSn structure at the PBE level of DFT.

The structure in POSCAR format:
```
YCuSn
1.0
7.536 0.000 0.001
0.000 4.279 0.000
0.002 0.000 4.195
Y Sn Cu
2 2 2
direct
0.888 0.158 0.164
0.211 0.658 0.664
0.803 0.658 0.664
0.524 0.158 0.664
0.535 0.658 0.165
0.302 0.158 0.165
```

Properties
- Fermi-level density of states (states/eV per cell) = 4.33
- SG = Pmm2 (25)
- E_form (meV/atom) = -327

11.
Computed, not measured: a geometry-optimized YCuSn structure at the PBE level of DFT.

The structure in POSCAR format:
```
YCuSn
1.0
-3.276 -4.800 -0.076
6.182 -1.649 0.255
0.300 1.766 4.053
Y Sn Cu
2 2 2
direct
0.492 0.435 0.043
0.104 0.870 0.350
0.052 0.354 0.324
0.543 0.951 0.069
0.944 0.539 0.770
0.651 0.765 0.623
```

Properties
- Fermi-level density of states (states/eV per cell) = 4.24
- SG = P-1 (2)
- E_form (meV/atom) = -421

12.
Computed, not measured: a geometry-optimized YCu3Sn structure at the PBE level of DFT.

The structure in POSCAR format:
```
YCu3Sn
1.0
-0.496 -3.158 3.554
-3.271 -2.366 -2.559
3.450 -2.697 -1.916
Y Sn Cu
1 1 3
direct
0.500 0.500 0.500
0.000 0.000 0.000
0.000 0.500 0.000
0.000 0.000 0.500
0.500 0.000 0.000
```

Properties
- Fermi-level density of states (states/eV per cell) = 3.70
- SG = Pm-3m (221)
- E_form (meV/atom) = 326